1.
This record from Alexandria via LeMat-Bulk describes a geometry-optimized ScPHS2 structure. The functional is GGA-PBE.

```
data_ScPHS2
_cell_length_a 4.9043
_cell_length_b 4.9043
_cell_length_c 5.1815
_cell_angle_alpha 90.00
_cell_angle_beta 90.00
_cell_angle_gamma 90.00
_symmetry_space_group_name_H-M 'P 4/m m m'
_symmetry_Int_Tables_number 123
_symmetry_space_group_name_Hall '-P 4 2'
loop_
_atom_site_label
_atom_site_type_symbol
_atom_site_fract_x
_atom_site_fract_y
_atom_site_fract_z
Sc1 Sc 0.0000 0.0000 0.0000
P1 P 0.0000 0.0000 0.5000
H1 H 0.5000 0.5000 0.5000
S1 S 0.0000 0.5000 0.0000
```

Properties
Excess energy over the best structure of this formula in the dataset = 616 meV/atom
Crystal system = tetragonal
D(E_F) = 5.178 states/eV per cell
Energy = -4.21 eV per atom


2.
This record from Alexandria via LeMat-Bulk describes a geometry-optimized GeTeI2O structure. The functional is GGA-PBE.

```
data_GeTeI2O
_cell_length_a 6.0318
_cell_length_b 6.0318
_cell_length_c 3.7334
_cell_angle_alpha 90.00
_cell_angle_beta 90.00
_cell_angle_gamma 90.00
_symmetry_space_group_name_H-M 'P 4/m m m'
_symmetry_Int_Tables_number 123
_symmetry_space_group_name_Hall '-P 4 2'
loop_
_atom_site_label
_atom_site_type_symbol
_atom_site_fract_x
_atom_site_fract_y
_atom_site_fract_z
Ge1 Ge 0.0000 0.0000 0.0000
Te1 Te 0.5000 0.5000 0.5000
I1 I 0.0000 0.5000 0.0000
O1 O 0.0000 0.0000 0.5000
```

Properties
Excess energy over the best structure of this formula in the dataset = 0 meV/atom
Crystal system = tetragonal
D(E_F) = 2.730 states/eV per cell
Energy = -3.22 eV per atom


3.
This record from Alexandria via LeMat-Bulk describes a geometry-optimized Li2CaScHg structure. The functional is GGA-PBE.

```
data_Li2CaScHg
_cell_length_a 5.0121
_cell_length_b 5.0121
_cell_length_c 5.7572
_cell_angle_alpha 90.00
_cell_angle_beta 90.00
_cell_angle_gamma 90.00
_symmetry_space_group_name_H-M 'P 4/m m m'
_symmetry_Int_Tables_number 123
_symmetry_space_group_name_Hall '-P 4 2'
loop_
_atom_site_label
_atom_site_type_symbol
_atom_site_fract_x
_atom_site_fract_y
_atom_site_fract_z
Li1 Li 0.0000 0.5000 0.0000
Ca1 Ca 0.0000 0.0000 0.5000
Sc1 Sc 0.5000 0.5000 0.5000
Hg1 Hg 0.0000 0.0000 0.0000
```

Properties
Crystal system = tetragonal
D(E_F) = 4.811 states/eV per cell
Energy = -2.25 eV per atom
Formation energy = 0.245 eV per atom


4.
This record from Alexandria via LeMat-Bulk describes a geometry-optimized AcBiSbAs structure. The functional is GGA-PBE.

```
data_AcBiSbAs
_cell_length_a 7.8141
_cell_length_b 7.8141
_cell_length_c 7.8141
_cell_angle_alpha 90.00
_cell_angle_beta 90.00
_cell_angle_gamma 90.00
_symmetry_space_group_name_H-M 'F -4 3 m'
_symmetry_Int_Tables_number 216
_symmetry_space_group_name_Hall 'F -4 2 3'
loop_
_atom_site_label
_atom_site_type_symbol
_atom_site_fract_x
_atom_site_fract_y
_atom_site_fract_z
Ac1 Ac 0.0000 0.0000 0.0000
Bi1 Bi 0.0000 0.0000 0.5000
Sb1 Sb 0.2500 0.2500 0.7500
As1 As 0.2500 0.2500 0.2500
```

Properties
Crystal system = cubic
D(E_F) = 6.980 states/eV per cell
Energy = -4.61 eV per atom